A relaxed structure of Tb3Pm5Dy, computed with GGA-PBE.

Geometry as POSCAR:
```
Tb3Pm5Dy
1.0
6.766 0.000 0.000
-3.383 7.779 -2.712
0.000 -0.216 11.606
Pm Tb Dy
10 6 2
Direct
0.080 0.344 0.348 Pm
0.611 0.220 0.550 Pm
0.264 0.344 0.848 Pm
0.920 0.656 0.652 Pm
0.686 0.000 0.250 Pm
0.609 0.220 0.050 Pm
0.314 0.000 0.750 Pm
0.389 0.780 0.450 Pm
0.736 0.656 0.152 Pm
0.391 0.780 0.950 Pm
0.361 0.522 0.629 Tb
0.639 0.478 0.371 Tb
0.000 0.000 0.500 Tb
0.000 0.000 0.000 Tb
0.839 0.478 0.871 Tb
0.161 0.522 0.129 Tb
0.762 0.000 0.750 Dy
0.238 0.000 0.250 Dy
```

Output
* D(E_F): 1.3931 states/eV per atom
* total magnetic moment: 0.0 μB per cell
* space group: C2/c, No. 15
* energy relative to the lowest polymorph listed for this composition: 0 meV per atom
* calculated formation energy: 1.5 eV/f.u.